No. 1
The following is a PBE-GGA calculation of a relaxed structure of CaPmYHo, from Alexandria.

Cell lengths 8.180, 8.180, 8.180 Å; angles 90.00, 90.00, 90.00 degrees
Space group F-43m (No. 216)
Asymmetric unit:
Ca (0.000, 0.000, 0.000) [4 per cell]
Pm (0.250, 0.250, 0.750) [4 per cell]
Y (0.250, 0.250, 0.250) [4 per cell]
Ho (0.000, 0.000, 0.500) [4 per cell]

Summary:
For the volume, the calculation gives 34.21 Å³/atom. The magnetic moment is 0.000 μB/cell. The density is 5.327 Mg/m³. The energy of formation is 142 meV/atom. For the total energy, the calculation gives -4.307 eV/atom.

=====

No. 2
The following is a PBE-GGA calculation of a relaxed structure of CaPm6YHo2, from Alexandria.

Cell lengths 9.154, 15.480, 9.848 Å; angles 90.00, 98.46, 90.00 degrees
Space group C2/c (No. 15)
Asymmetric unit:
Ca (0.000, 0.098, 0.250) [4 per cell]
Pm (0.060, 0.323, 0.449) [8 per cell]
Pm (0.107, 0.105, 0.623) [8 per cell]
Pm (0.201, 0.270, 0.823) [8 per cell]
Y (0.000, 0.475, 0.750) [4 per cell]
Ho (0.249, 0.448, 0.042) [8 per cell]

Summary:
For the volume, the calculation gives 34.51 Å³/atom. The magnetic moment is 0.000 μB/cell. The density is 6.394 Mg/m³. The energy of formation is 134 meV/atom. For the total energy, the calculation gives -4.478 eV/atom.

=====

No. 3
The following is a PBE-GGA calculation of a relaxed structure of CaPr6Ho2, from Alexandria.

Cell lengths 6.1366, 6.1366, 11.7453 Å; angles 90.00, 90.00, 120.00 degrees
Space group P-31m (No. 162)
Asymmetric unit:
Ca (0.0000, 0.0000, 0.0000) [1 per cell]
Pr (0.0000, 0.3302, 0.2604) [6 per cell]
Ho (0.3333, 0.6667, 0.5000) [2 per cell]

Summary:
For the volume, the calculation gives 42.56 Å³/atom. The magnetic moment is 0.008 μB/cell. The density is 5.269 Mg/m³. The energy of formation is 483 meV/atom. For the total energy, the calculation gives -3.943 eV/atom.

=====

No. 4
The following is a PBE-GGA calculation of a relaxed structure of CaPr5Ho6, from Alexandria.

Cell lengths 11.973, 10.896, 6.295 Å; angles 90.00, 100.05, 90.00 degrees
Space group C2/m (No. 12)
Asymmetric unit:
Ca (0.000, 0.000, 0.000) [2 per cell]
Pr (0.000, 0.169, 0.500) [4 per cell]
Pr (0.000, 0.336, 0.000) [4 per cell]
Pr (0.000, 0.500, 0.500) [2 per cell]
Ho (0.246, 0.331, 0.746) [8 per cell]
Ho (0.248, 0.500, 0.254) [4 per cell]

Summary:
For the volume, the calculation gives 33.69 Å³/atom. The magnetic moment is 0.000 μB/cell. The density is 7.122 Mg/m³. The energy of formation is 42 meV/atom. For the total energy, the calculation gives -4.405 eV/atom.

=====

No. 5
The following is a PBE-GGA calculation of a relaxed structure of CaPr2Ho6, from Alexandria.

Cell lengths 7.239, 8.995, 9.548 Å; angles 76.62, 79.19, 89.98 degrees
Space group P-1 (No. 2)
Asymmetric unit:
Ca (0.211, 0.336, 0.144) [2 per cell]
Pr (0.378, 0.335, 0.483) [2 per cell]
Pr (0.420, 0.994, 0.333) [2 per cell]
Ho (0.043, 0.327, 0.813) [2 per cell]
Ho (0.085, 0.004, 0.665) [2 per cell]
Ho (0.122, 0.665, 0.516) [2 per cell]
Ho (0.248, 0.991, 0.997) [2 per cell]
Ho (0.283, 0.671, 0.851) [2 per cell]
Ho (0.451, 0.672, 0.184) [2 per cell]

Summary:
For the volume, the calculation gives 32.97 Å³/atom. The magnetic moment is 0.000 μB/cell. The density is 7.339 Mg/m³. The energy of formation is 44 meV/atom. For the total energy, the calculation gives -4.293 eV/atom.

=====

No. 6
The following is a PBE-GGA calculation of a relaxed structure of CaPr3Ho, from Alexandria.

Cell lengths 5.587, 11.448, 11.488 Å; angles 90.00, 90.00, 90.00 degrees
Space group Cmmm (No. 65)
Asymmetric unit:
Ca (0.000, 0.156, 0.000) [4 per cell]
Pr (0.000, 0.152, 0.309) [8 per cell]
Pr (0.000, 0.500, 0.191) [4 per cell]
Ho (0.000, 0.361, 0.500) [4 per cell]

Summary:
Its energy above the most stable polymorph in this dataset is 0.000 eV/atom. For the volume, the calculation gives 36.74 Å³/atom. The magnetic moment is 0.000 μB/cell. The density is 5.674 Mg/m³. The energy of formation is 151 meV/atom. For the total energy, the calculation gives -4.032 eV/atom.

=====

No. 7
The following is a PBE-GGA calculation of a relaxed structure of CaPr3Ho, from Alexandria.

Cell lengths 6.2697, 6.2697, 35.4225 Å; angles 90.00, 90.00, 120.00 degrees
Space group R-3 (No. 148, hexagonal axes)
Asymmetric unit:
Ca (0.0000, 0.0000, 0.1671) [6 per cell]
Pr (0.0045, 0.6771, 0.0778) [18 per cell]
Ho (0.0000, 0.0000, 0.3336) [6 per cell]

Summary:
Its energy above the most stable polymorph in this dataset is 0.204 eV/atom. For the volume, the calculation gives 40.20 Å³/atom. The magnetic moment is 0.000 μB/cell. The density is 5.186 Mg/m³. The energy of formation is 355 meV/atom. For the total energy, the calculation gives -3.829 eV/atom.

=====

No. 8
The following is a PBE-GGA calculation of a relaxed structure of CaPr6Ho12, from Alexandria.

Cell lengths 14.9976, 14.9976, 10.6382 Å; angles 90.00, 90.00, 120.00 degrees
Space group R-3m (No. 166, hexagonal axes)
Asymmetric unit:
Ca (0.0000, 0.0000, 0.0000) [3 per cell]
Pr (0.0729, 0.5364, 0.2222) [18 per cell]
Ho (0.0000, 0.3878, 0.5000) [18 per cell]
Ho (0.0796, 0.1592, 0.2547) [18 per cell]

Summary:
For the volume, the calculation gives 36.36 Å³/atom. The magnetic moment is 0.004 μB/cell. The density is 6.887 Mg/m³. The energy of formation is 452 meV/atom. For the total energy, the calculation gives -4.054 eV/atom.

=====

No. 9
The following is a PBE-GGA calculation of a relaxed structure of CaPr6Ho, from Alexandria.

Cell lengths 5.229, 5.229, 10.480 Å; angles 90.00, 90.00, 90.00 degrees
Space group P4/mmm (No. 123)
Asymmetric unit:
Ca (0.000, 0.000, 0.000) [1 per cell]
Pr (0.000, 0.500, 0.257) [4 per cell]
Pr (0.500, 0.500, 0.000) [1 per cell]
Pr (0.500, 0.500, 0.500) [1 per cell]
Ho (0.000, 0.000, 0.500) [1 per cell]

Summary:
For the volume, the calculation gives 35.82 Å³/atom. The magnetic moment is 0.000 μB/cell. The density is 6.087 Mg/m³. The energy of formation is 32 meV/atom. For the total energy, the calculation gives -4.375 eV/atom.

=====

No. 10
The following is a PBE-GGA calculation of a relaxed structure of Ca3Pr6Ho2, from Alexandria.

Cell lengths 4.6369, 4.6369, 75.3666 Å; angles 90.00, 90.00, 120.00 degrees
Space group R-3m (No. 166, hexagonal axes)
Asymmetric unit:
Ca (0.0000, 0.0000, 0.0000) [3 per cell]
Ca (0.0000, 0.0000, 0.2624) [6 per cell]
Pr (0.0000, 0.0000, 0.1065) [6 per cell]
Pr (0.0000, 0.0000, 0.1653) [6 per cell]
Pr (0.0000, 0.0000, 0.3684) [6 per cell]
Ho (0.0000, 0.0000, 0.4704) [6 per cell]

Summary:
For the volume, the calculation gives 42.53 Å³/atom. The magnetic moment is 0.000 μB/cell. The density is 4.599 Mg/m³. The energy of formation is 670 meV/atom. For the total energy, the calculation gives -3.316 eV/atom.

=====

No. 11
The following is a PBE-GGA calculation of a relaxed structure of CaPrHo2, from Alexandria.

Cell lengths 5.108, 5.108, 5.217 Å; angles 90.00, 90.00, 90.00 degrees
Space group P4/mmm (No. 123)
Asymmetric unit:
Ca (0.000, 0.000, 0.000) [1 per cell]
Pr (0.500, 0.500, 0.000) [1 per cell]
Ho (0.000, 0.500, 0.500) [2 per cell]

Summary:
Its energy above the most stable polymorph in this dataset is 0.050 eV/atom. For the volume, the calculation gives 34.03 Å³/atom. The magnetic moment is 0.000 μB/cell. The density is 6.232 Mg/m³. The energy of formation is 117 meV/atom. For the total energy, the calculation gives -3.867 eV/atom.

=====

No. 12
The following is a PBE-GGA calculation of a relaxed structure of Ca2Pr2Ho, from Alexandria.

Cell lengths 4.633, 4.633, 17.742 Å; angles 90.00, 90.00, 90.00 degrees
Space group I4/mmm (No. 139)
Asymmetric unit:
Ca (0.000, 0.500, 0.250) [4 per cell]
Pr (0.000, 0.000, 0.088) [4 per cell]
Ho (0.000, 0.000, 0.500) [2 per cell]

Summary:
Its energy above the most stable polymorph in this dataset is 0.340 eV/atom. For the volume, the calculation gives 38.09 Å³/atom. The magnetic moment is 0.000 μB/cell. The density is 4.594 Mg/m³. The energy of formation is 370 meV/atom. For the total energy, the calculation gives -3.258 eV/atom.